The following is a DFT calculation (PBE) of a geometry-optimized NaCoH3 structure.

Properties
The calculation puts the mass density at 2.68 g/cm3. For the density of states at the Fermi level, the calculation gives 2.2 states/eV per cell. As for the total energy: -3.28 eV/atom.

abc: 3.752 3.752 3.752
angles: 92.36 92.36 92.36
Fractional positions:
Na1 0.490 0.490 0.490
Co1 0.965 0.965 0.965
H1 0.690 0.040 0.690
H2 0.040 0.690 0.690
H3 0.690 0.690 0.040

The following is a DFT calculation (PBE) of a geometry-optimized NaCoH3 structure.

Properties
The calculation puts the mass density at 3.37 g/cm3. For the density of states at the Fermi level, the calculation gives 2.4 states/eV per cell. As for the total energy: -3.75 eV/atom.

abc: 6.085 6.072 2.658
angles: 77.57 64.11 72.30
Fractional positions:
H1 0.848 0.007 0.075
H2 0.115 0.687 0.465
H3 0.398 0.648 0.703
H4 0.213 0.006 0.211
H5 0.946 0.326 0.820
H6 0.663 0.366 0.583
Co1 0.157 0.837 0.850
Co2 0.904 0.176 0.436
Na1 0.358 0.311 0.414
Na2 0.703 0.701 0.872

The following is a DFT calculation (PBE) of a geometry-optimized NaCoH2 structure.

Properties
The calculation puts the mass density at 3.84 g/cm3. For the density of states at the Fermi level, the calculation gives 4.5 states/eV per cell. Its energy above the most stable polymorph in this dataset is 700 meV/atom.

abc: 3.717 3.717 3.717
angles: 60.00 60.00 60.00
Each line ends with the local moment (μB).
Fractional positions:
Na1 0.000 0.000 0.000  0.00
Co1 0.500 0.500 0.500  1.22
H1 0.250 0.250 0.250  -0.01
H2 0.750 0.750 0.750  -0.01

The following is a DFT calculation (PBE) of a geometry-optimized Na2CoH structure.

Properties
The calculation puts the mass density at 2.16 g/cm3. For the density of states at the Fermi level, the calculation gives 0.8 states/eV per cell. Its energy above the most stable polymorph in this dataset is 470 meV/atom.

abc: 4.869 4.869 4.869
angles: 60.00 60.00 60.00
Each line ends with the local moment (μB).
Fractional positions:
Na1 0.250 0.250 0.250  -0.01
Na2 0.750 0.750 0.750  -0.01
Co1 0.500 0.500 0.500  1.98
H1 0.000 0.000 0.000  0.03

The following is a DFT calculation (PBE) of a geometry-optimized NaCoH3 structure.

Properties
The calculation puts the mass density at 3.59 g/cm3. For the density of states at the Fermi level, the calculation gives 3.3 states/eV per cell. As for the total energy: -3.71 eV/atom.

abc: 2.884 4.490 6.063
angles: 90.00 90.04 90.00
Each line ends with the local moment (μB).
Fractional positions:
Na1 0.249 0.250 0.365  0.01
Na2 0.751 0.750 0.635  0.01
Co1 0.750 0.250 0.918  0.84
Co2 0.250 0.750 0.082  0.84
H1 0.750 0.972 0.115  -0.01
H2 0.250 0.028 0.885  -0.01
H3 0.750 0.528 0.115  -0.01
H4 0.250 0.472 0.885  -0.01
H5 0.749 0.250 0.649  0.01
H6 0.251 0.750 0.351  0.01

The following is a DFT calculation (PBE) of a geometry-optimized NaCoH3 structure.

Properties
The calculation puts the mass density at 3.11 g/cm3. For the density of states at the Fermi level, the calculation gives 7.4 states/eV per cell. As for the total energy: -3.79 eV/atom.

abc: 10.718 6.327 6.327
angles: 94.01 131.49 48.51
Each line ends with the local moment (μB).
Fractional positions:
Na1 0.233 0.337 0.420  0.00
Na2 0.267 0.920 0.837  0.00
Na3 0.767 0.663 0.580  0.00
Na4 0.733 0.080 0.163  0.00
Co1 0.750 0.184 0.684  1.00
Co2 0.250 0.816 0.316  1.00
Co3 0.750 0.470 0.970  0.50
Co4 0.250 0.530 0.030  0.50
H1 0.445 0.375 0.459  -0.01
H2 0.055 0.959 0.875  -0.01
H3 0.555 0.625 0.541  -0.01
H4 0.945 0.041 0.125  -0.01
H5 0.050 0.233 0.181  -0.01
H6 0.450 0.681 0.733  -0.01
H7 0.950 0.767 0.819  -0.01
H8 0.550 0.319 0.267  -0.01
H9 0.699 0.768 0.944  0.00
H10 0.801 0.444 0.268  0.00
H11 0.301 0.232 0.056  0.00
H12 0.199 0.556 0.732  0.00

The following is a DFT calculation (PBE) of a geometry-optimized NaCoH3 structure.

Properties
The calculation puts the mass density at 3.68 g/cm3. For the density of states at the Fermi level, the calculation gives 6.5 states/eV per cell. As for the total energy: -3.65 eV/atom.

abc: 14.619 4.609 5.891
angles: 90.00 157.30 90.00
Fractional positions:
Na1 0.392 0.750 0.392
Na2 0.608 0.250 0.608
Na3 0.108 0.250 0.108
Na4 0.892 0.750 0.892
Co1 0.114 0.287 0.614
Co2 0.886 0.713 0.386
Co3 0.386 0.787 0.886
Co4 0.614 0.213 0.114
H1 0.239 0.023 0.739
H2 0.761 0.977 0.261
H3 0.261 0.523 0.761
H4 0.739 0.477 0.239
H5 0.361 0.250 0.361
H6 0.639 0.750 0.639
H7 0.139 0.750 0.139
H8 0.861 0.250 0.861
H9 0.551 0.870 0.052
H10 0.449 0.130 0.948
H11 0.949 0.370 0.448
H12 0.051 0.630 0.552

The following is a DFT calculation (PBE) of a geometry-optimized Na2CoH6 structure.

Properties
The calculation puts the mass density at 1.89 g/cm3. For the density of states at the Fermi level, the calculation gives 15.7 states/eV per cell. As for the total energy: -3.26 eV/atom.

abc: 4.601 4.601 9.211
angles: 90.00 90.00 90.00
Each line ends with the local moment (μB).
Fractional positions:
Na1 0.500 0.500 0.335  0.00
Na2 0.500 0.500 0.665  0.00
Na3 0.000 0.000 0.165  0.00
Na4 0.000 0.000 0.835  0.00
Co1 0.500 0.500 0.000  1.09
Co2 0.000 0.000 0.500  1.09
H1 0.663 0.663 0.121  -0.01
H2 0.663 0.663 0.879  -0.01
H3 0.763 0.763 0.500  -0.01
H4 0.737 0.263 0.000  -0.01
H5 0.837 0.163 0.379  -0.01
H6 0.837 0.163 0.621  -0.01
H7 0.163 0.837 0.379  -0.01
H8 0.163 0.837 0.621  -0.01
H9 0.263 0.737 0.000  -0.01
H10 0.237 0.237 0.500  -0.01
H11 0.337 0.337 0.121  -0.01
H12 0.337 0.337 0.879  -0.01

The following is a DFT calculation (PBE) of a geometry-optimized Na2Co2H7 structure.

Properties
The calculation puts the mass density at 3.36 g/cm3. For the density of states at the Fermi level, the calculation gives 2.2 states/eV per cell. As for the total energy: -3.68 eV/atom.

abc: 4.854 4.205 4.205
angles: 100.31 90.00 90.00
Fractional positions:
Na1 0.500 0.759 0.759
Na2 0.500 0.241 0.241
Co1 0.000 0.738 0.262
Co2 0.000 0.262 0.738
H1 0.802 0.000 0.500
H2 0.198 0.500 0.000
H3 0.198 0.000 0.500
H4 0.802 0.500 0.000
H5 0.000 0.000 0.000
H6 0.130 0.500 0.500
H7 0.870 0.500 0.500

The following is a DFT calculation (PBE) of a geometry-optimized Na2CoNiH6 structure.

Properties
The calculation puts the mass density at 3.65 g/cm3. For the density of states at the Fermi level, the calculation gives 3.4 states/eV per cell. As for the total energy: -3.69 eV/atom.

abc: 4.798 4.798 4.777
angles: 59.82 59.82 90.15
Fractional positions:
Na1 0.750 0.250 0.500
Na2 0.250 0.750 0.500
Co1 0.000 0.000 0.000
Ni1 0.500 0.500 0.000
H1 0.247 0.247 0.505
H2 0.755 0.755 0.999
H3 0.245 0.755 0.000
H4 0.755 0.245 0.000
H5 0.245 0.245 0.001
H6 0.753 0.753 0.495